Compound: LiAgP2
Source: Alexandria
Functional: PBE-GGA
Structure: relaxed

The structure in POSCAR format:
```
LiAgP2
1.0
2.6200 0.0000 0.0000
0.0000 2.6200 0.0000
0.0000 0.0000 9.6433
Ag Li P
1 1 2
Cartesian
0.0000 0.0000 4.9981
1.3100 1.3100 7.2556
0.0000 0.0000 9.1201
1.3100 1.3100 2.7344
```

Properties
Size of the total moment, μB per cell: 0.00
Crystal system: tetragonal
ΔH_f (0 K), kJ/mol of formula units: 78
Excess energy over the best structure of this formula in the dataset, kJ/mol of formula units: 131.3

Compound: HfAsH3
Source: Alexandria
Functional: PBE-GGA
Structure: relaxed

The structure in POSCAR format:
```
HfAsH3
1.0
-3.0355 1.7362 -1.3480
-2.1626 -2.7701 1.3021
-0.3932 1.8325 3.2455
H As Hf
3 1 1
Cartesian
-1.0813 -1.3850 0.6511
-0.1966 0.9163 1.6227
-1.5177 0.8681 -0.6740
-2.7956 0.3993 1.5998
0.0000 0.0000 0.0000
```

Properties
Size of the total moment, μB per cell: 0.00
Crystal system: cubic
Excess energy over the best structure of this formula in the dataset, kJ/mol of formula units: 0.0

Compound: MgTiTl2Se4
Source: Alexandria
Functional: PBE-GGA
Structure: relaxed

The structure in POSCAR format:
```
MgTiTl2Se4
1.0
7.1440 0.0086 -0.0066
0.0069 7.1458 -0.0043
-3.5746 -3.5754 5.1251
Mg Ti Tl Se
1 1 2 4
Cartesian
3.5738 0.0060 4.9743
3.5754 3.5781 2.4101
0.0067 3.5733 4.9764
-0.0017 0.0012 2.4189
2.3940 1.8917 3.6576
5.2565 2.3993 1.1532
1.8928 4.7607 1.1585
-2.3916 -1.8930 3.6705
```

Properties
Size of the total moment, μB per cell: 0.00
Crystal system: monoclinic
Total energy, eV per atom: -4.333

Compound: SrCd11Au
Source: Alexandria
Functional: PBE-GGA
Structure: relaxed

The structure in POSCAR format:
```
SrCd11Au
1.0
-4.0734 1.4275 4.0520
-7.2387 -1.3072 -2.4202
-1.7237 -5.9480 4.6877
Sr Cd Au
1 11 1
Cartesian
0.0000 0.0000 0.0000
-3.1231 -1.1450 1.6478
-9.9127 -4.6826 4.6717
-8.0551 -1.5863 1.1234
-4.9808 -4.2414 5.1961
-7.2458 -4.1938 2.9519
-5.7900 -1.6338 3.3676
-7.7327 -2.9216 6.1933
-5.3031 -2.9060 0.1262
-3.6194 -0.6536 -1.2101
-2.8985 -2.2602 4.3698
-0.8618 -2.9740 2.3439
-5.6561 0.0602 0.8159
```

Properties
Size of the total moment, μB per cell: 0.00
Crystal system: monoclinic
ΔH_f (0 K), kJ/mol of formula units: -189

Compound: La5CoAg2H
Source: Alexandria
Functional: PBE-GGA
Structure: relaxed

The structure in POSCAR format:
```
La5CoAg2H
1.0
-2.5267 3.0618 0.6604
-5.4676 -6.1871 -4.4962
-3.5079 -5.4251 11.7310
La Co Ag H
10 2 4 2
Cartesian
-4.8583 -3.4202 -2.7312
-7.0199 -5.1065 9.0785
-9.4087 -8.8026 4.8130
-6.3374 -6.3733 5.3009
-9.1609 -5.4611 2.5304
-5.0291 -2.6328 5.2262
-5.4335 -4.9147 1.9972
-2.1993 0.0886 3.4362
-4.5576 -1.2380 0.5636
-0.6566 -0.4838 -0.2692
-7.0688 -4.0565 4.0226
-2.8483 -2.0425 -1.4284
-9.2447 -6.4824 6.9451
-4.1337 -4.9832 7.2877
-2.8269 -2.9485 2.8540
-7.0756 -3.1142 -0.3721
-5.3520 -4.0462 10.5438
-7.3198 -6.3130 1.2627
```

Properties
Size of the total moment, μB per cell: 1.50
Crystal system: orthorhombic
Total energy, eV per atom: -4.772

Compound: K4Ga2Au5
Source: Alexandria
Functional: PBE-GGA
Structure: relaxed

The structure in POSCAR format:
```
K4Ga2Au5
1.0
5.2985 0.0000 -1.4512
-1.3292 10.3877 -4.8531
0.2999 -1.0046 11.4933
K Ga Au
8 4 10
Cartesian
4.8999 1.0785 7.4920
-0.6308 8.3046 -2.3030
2.6504 3.3660 -0.7213
1.6187 6.0171 5.9103
3.4871 0.2379 2.3337
0.7820 9.1453 2.8553
3.7005 7.0416 3.1126
0.5687 2.3415 2.0764
4.1697 6.7716 -0.3735
2.7488 2.6115 4.8369
0.0995 2.6115 5.5625
1.5204 6.7716 0.3521
1.3246 0.0000 -0.3628
3.9739 0.0000 -1.0884
2.2527 6.1603 -2.1734
2.0165 3.2228 7.3624
4.5673 3.9921 6.2774
-0.2981 5.3910 -1.0884
2.8905 9.0501 0.1551
1.3787 0.3330 5.0339
0.6962 5.4941 2.5421
3.5729 3.8890 2.6469
```

Properties
Size of the total moment, μB per cell: 0.00
Crystal system: orthorhombic
ΔH_f (0 K), kJ/mol of formula units: -231

Compound: NaHf2Re
Source: Alexandria
Functional: PBE-GGA
Structure: relaxed

The structure in POSCAR format:
```
NaHf2Re
1.0
4.2308 0.0000 0.0000
0.0000 4.2308 0.0000
2.1154 2.1154 9.5441
Re Hf Na
2 4 2
Cartesian
0.0000 0.0000 0.0000
4.2308 2.1154 4.7720
3.2638 1.0577 2.3860
0.9671 3.1731 2.3860
3.1731 3.0825 7.1580
5.2885 5.3792 7.1580
2.1154 2.1154 0.0000
2.1154 4.2308 4.7720
```

Properties
Size of the total moment, μB per cell: 0.00
Crystal system: tetragonal
ΔH_f (0 K), kJ/mol of formula units: 448

Compound: TcTe2MoN
Source: Alexandria
Functional: PBE-GGA
Structure: relaxed

The structure in POSCAR format:
```
TcTe2MoN
1.0
5.3858 0.0000 0.0000
0.0000 5.3858 0.0000
0.0000 0.0000 3.6937
Mo Te Tc N
1 2 1 1
Cartesian
2.6929 2.6929 1.8469
0.0000 2.6929 0.0000
2.6929 0.0000 0.0000
0.0000 0.0000 0.0000
0.0000 0.0000 1.8469
```

Properties
Size of the total moment, μB per cell: 3.69
Crystal system: tetragonal
Excess energy over the best structure of this formula in the dataset, kJ/mol of formula units: 0.0

Compound: TbPrBr
Source: Alexandria
Functional: PBE-GGA
Structure: relaxed

The structure in POSCAR format:
```
TbPrBr
1.0
3.7896 0.0000 0.0000
-1.8948 3.2819 0.0000
0.0000 0.0000 7.5491
Pr Tb Br
1 1 1
Cartesian
0.0000 2.1879 4.9447
0.0000 0.0000 0.1773
1.8948 1.0940 2.4270
```

Properties
Size of the total moment, μB per cell: 0.43
Crystal system: trigonal
Excess energy over the best structure of this formula in the dataset, kJ/mol of formula units: 0.0

Compound: Pu2B2PtRh5
Source: Alexandria
Functional: PBE-GGA
Structure: relaxed

The structure in POSCAR format:
```
Pu2B2PtRh5
1.0
-1.2186 2.7110 1.3431
-6.9801 -5.1352 4.0322
5.4661 -1.3677 7.7203
Pu B Pt Rh
4 4 2 10
Cartesian
-3.7615 -3.7336 4.1233
2.2475 -2.7694 7.6292
0.5015 -1.3594 3.1989
-2.0155 -5.1436 8.5536
2.5510 -1.4655 5.2728
-4.0651 -5.0374 6.4797
0.4800 -4.3882 9.2931
-1.9940 -2.1148 2.4594
0.0000 0.0000 0.0000
-0.7570 -3.2515 5.8763
-1.8050 0.0950 2.1310
-0.9277 -3.8869 10.9646
3.1246 -0.0651 6.9271
-3.3346 -2.9631 6.9161
-5.8573 -3.7268 6.1685
0.6019 -0.8288 6.1795
-0.6208 -2.5688 8.5825
-2.1119 -1.2231 4.5131
-4.0994 -1.2121 2.6877
2.1237 0.6717 4.5317
```

Properties
Size of the total moment, μB per cell: 17.99
Crystal system: tetragonal
ΔH_f (0 K), kJ/mol of formula units: -448

Compound: CsSb3S
Source: Alexandria
Functional: PBE-GGA
Structure: relaxed

The structure in POSCAR format:
```
CsSb3S
1.0
-1.2373 5.2318 3.3584
-2.1856 -3.5718 4.7590
5.8202 -0.2290 2.5011
Cs Sb S
1 3 1
Cartesian
0.0000 0.0000 0.0000
-1.0928 -1.7859 2.3795
2.9101 -0.1145 1.2505
-0.6187 2.6159 1.6792
1.1986 0.7155 5.3092
```

Properties
Size of the total moment, μB per cell: 3.65
Crystal system: cubic
Excess energy over the best structure of this formula in the dataset, kJ/mol of formula units: 784.7

Compound: AlInMo4
Source: Alexandria
Functional: PBE-GGA
Structure: relaxed

The structure in POSCAR format:
```
AlInMo4
1.0
-0.6315 -2.4685 4.6485
-3.9117 1.4596 3.2663
-4.1552 -3.2035 0.7569
Al In Mo
1 1 4
Cartesian
-6.5238 -3.1593 6.5038
0.0000 0.0000 0.0000
-3.5773 -2.8143 5.5767
-5.3399 -3.1819 3.6300
-5.2181 -0.8493 4.8853
-3.2614 -1.5794 3.2514
```

Properties
Size of the total moment, μB per cell: 0.00
Crystal system: cubic
ΔH_f (0 K), kJ/mol of formula units: 206

Compound: LiMg8Cd6
Source: Alexandria
Functional: PBE-GGA
Structure: relaxed

The structure in POSCAR format:
```
LiMg8Cd6
1.0
-5.9515 5.7999 -0.8796
-7.7581 -1.5310 2.7018
-3.1982 3.6162 5.7888
Li Mg Cd
1 8 6
Cartesian
0.0000 0.0000 0.0000
-6.0644 4.1046 2.1832
-7.6240 6.6760 3.3500
-6.3087 2.3076 4.8510
-9.1367 2.8508 1.2263
-7.7711 5.0344 6.3848
-10.5991 5.5776 2.7601
-9.2838 1.2092 4.2611
-10.8434 3.7806 5.4279
-5.3341 5.1819 4.7480
-8.2740 5.6208 0.7545
-6.9717 1.1728 2.2926
-9.9361 6.7124 5.3185
-8.6338 2.2643 6.8565
-11.5737 2.7033 2.8630
```

Properties
Size of the total moment, μB per cell: 0.00
Crystal system: trigonal
ΔH_f (0 K), kJ/mol of formula units: -98

Compound: LiFeRu
Source: Alexandria
Functional: PBE-GGA
Structure: relaxed

The structure in POSCAR format:
```
LiFeRu
1.0
4.8560 -0.0840 0.0000
3.2625 3.5977 0.0000
-4.0592 -1.7569 2.0058
Fe Li Ru
1 1 1
Cartesian
0.0201 0.0087 0.0000
2.7538 1.1918 0.0000
5.3446 2.3132 0.0000
```

Properties
Size of the total moment, μB per cell: 0.54
Crystal system: tetragonal
ΔH_f (0 K), kJ/mol of formula units: 79
Excess energy over the best structure of this formula in the dataset, kJ/mol of formula units: 6.4

Compound: BaIn2Ag8
Source: Alexandria
Functional: PBE-GGA
Structure: relaxed

The structure in POSCAR format:
```
BaIn2Ag8
1.0
-3.8319 -4.4042 4.2161
-3.0805 -2.8988 -5.8278
4.0069 -3.7352 -0.2601
Ba In Ag
1 2 8
Cartesian
-1.4527 -5.5191 -0.9359
-1.9159 -2.2021 2.1081
-1.5402 -1.4494 -2.9139
-4.5618 -6.8163 -1.3629
-0.6826 -6.9102 2.0647
-2.5630 -8.6796 -1.4926
-2.6815 -5.0469 2.1944
-2.2228 -4.1280 -3.9365
-0.2240 -5.9913 -4.0662
-0.3425 -2.3585 -0.3791
1.6564 -4.2218 -0.5089
```

Properties
Size of the total moment, μB per cell: 0.00
Crystal system: tetragonal
ΔH_f (0 K), kJ/mol of formula units: 126

Compound: Ba2Na2Hg
Source: Alexandria
Functional: PBE-GGA
Structure: relaxed

The structure in POSCAR format:
```
Ba2Na2Hg
1.0
4.2192 0.0000 -0.6770
-0.1086 4.2178 -0.6770
-0.2473 -0.2537 11.9457
Ba Na Hg
2 2 1
Cartesian
2.3649 2.4266 1.2528
1.4984 1.5375 9.3389
3.1090 3.1901 5.8904
0.7543 0.7740 4.7014
0.0000 0.0000 0.0000
```

Properties
Size of the total moment, μB per cell: 0.00
Crystal system: tetragonal
ΔH_f (0 K), kJ/mol of formula units: -114
Excess energy over the best structure of this formula in the dataset, kJ/mol of formula units: 0.0

Compound: NaOs3N
Source: Alexandria
Functional: PBE-GGA
Structure: relaxed

The structure in POSCAR format:
```
NaOs3N
1.0
4.5017 0.0000 0.0000
0.0000 4.5017 0.0000
0.0000 0.0000 4.5017
Na Os N
1 3 1
Cartesian
0.0000 0.0000 0.0000
0.0000 2.2508 0.0000
0.0000 0.0000 2.2508
2.2508 0.0000 0.0000
2.2508 2.2508 2.2508
```

Properties
Size of the total moment, μB per cell: 3.00
Crystal system: cubic
Excess energy over the best structure of this formula in the dataset, kJ/mol of formula units: 1667.7

Compound: ZrAsIBr2
Source: Alexandria
Functional: PBE-GGA
Structure: relaxed

The structure in POSCAR format:
```
ZrAsIBr2
1.0
5.2128 0.0000 0.0000
0.0000 5.2128 0.0000
0.0000 0.0000 5.6192
I As Br Zr
1 1 2 1
Cartesian
2.6064 2.6064 2.8096
0.0000 0.0000 2.8096
0.0000 2.6064 0.0000
2.6064 0.0000 0.0000
0.0000 0.0000 0.0000
```

Properties
Size of the total moment, μB per cell: 0.00
Crystal system: tetragonal
Excess energy over the best structure of this formula in the dataset, kJ/mol of formula units: 0.0

Compound: MgAl2Au2
Source: Alexandria
Functional: PBE-GGA
Structure: relaxed

The structure in POSCAR format:
```
MgAl2Au2
1.0
-2.3153 1.4979 -2.7643
-0.3581 -3.5362 -1.6164
-6.2966 -2.1386 1.3574
Mg Au Al
1 2 2
Cartesian
0.0000 0.0000 0.0000
-2.4391 -1.2680 -1.4017
-6.5308 -2.9089 -1.6214
-4.9743 -0.8299 -1.7986
-3.9957 -3.3470 -1.2246
```

Properties
Size of the total moment, μB per cell: 0.00
Crystal system: tetragonal
ΔH_f (0 K), kJ/mol of formula units: -180

Compound: AgW5
Source: Alexandria
Functional: PBE-GGA
Structure: relaxed

The structure in POSCAR format:
```
AgW5
1.0
2.2229 6.0997 4.6849
-4.5685 -5.4943 -3.6106
0.8399 -3.0230 3.5374
Ag W
1 5
Cartesian
2.1937 6.0499 4.6493
-2.5986 -4.3597 0.0514
-2.3458 -1.6997 -0.8956
-0.3304 -0.4875 2.8219
-0.0929 2.1463 1.8563
1.9243 3.3616 5.5760
```

Properties
Size of the total moment, μB per cell: 0.00
Crystal system: orthorhombic
ΔH_f (0 K), kJ/mol of formula units: 307
Excess energy over the best structure of this formula in the dataset, kJ/mol of formula units: 10.6

Compound: Rb2Cd6Hg
Source: Alexandria
Functional: PBE-GGA
Structure: relaxed

The structure in POSCAR format:
```
Rb2Cd6Hg
1.0
6.7173 0.0000 0.0000
-3.3586 5.8345 0.6178
0.0000 -0.7652 6.9780
Rb Cd Hg
2 6 1
Cartesian
3.3587 1.8448 1.1083
0.0000 3.2245 6.4876
4.9469 0.5165 4.6889
3.3586 3.2536 4.9558
1.7704 0.5165 4.6889
-1.5883 4.5528 2.9070
0.0000 1.8157 2.6400
1.5883 4.5528 2.9070
0.0000 0.0000 0.0000
```

Properties
Size of the total moment, μB per cell: 0.00
Crystal system: monoclinic
ΔH_f (0 K), kJ/mol of formula units: -54

Compound: LiAgAuSe2
Source: Alexandria
Functional: PBE-GGA
Structure: relaxed

The structure in POSCAR format:
```
LiAgAuSe2
1.0
4.5439 0.0000 0.0000
0.0000 6.9653 0.4732
0.0000 -1.5538 6.6791
Li Ag Au Se
2 2 2 4
Cartesian
2.2903 -0.3884 1.6698
2.2536 -1.1653 5.0093
0.8943 2.3173 5.2459
3.6496 3.0942 1.9064
0.0000 0.0000 0.0000
0.0000 -0.7769 3.3396
3.2413 3.3863 6.7254
3.2413 1.2484 3.7664
1.3026 4.1632 3.3858
1.3026 2.0252 0.4269
```

Properties
Size of the total moment, μB per cell: 0.00
Crystal system: monoclinic
Total energy, eV per atom: -3.323

Compound: RuIN2
Source: Alexandria
Functional: PBE-GGA
Structure: relaxed

The structure in POSCAR format:
```
RuIN2
1.0
5.9840 0.0000 0.0000
0.0000 5.9840 0.0000
2.9920 2.9920 4.2342
I Ru N
2 2 4
Cartesian
0.0000 0.0000 0.0000
5.9840 2.9920 2.1171
2.9920 2.9920 0.0000
2.9920 5.9840 2.1171
3.0066 1.4960 1.0586
2.9774 4.4880 1.0586
4.4880 5.9693 3.1757
7.4800 5.9986 3.1757
```

Properties
Size of the total moment, μB per cell: 0.00
Crystal system: tetragonal
Excess energy over the best structure of this formula in the dataset, kJ/mol of formula units: 0.0

Compound: BePF
Source: Alexandria
Functional: PBE-GGA
Structure: relaxed

The structure in POSCAR format:
```
BePF
1.0
5.2619 0.0000 0.0000
0.0000 2.6261 0.0000
0.0000 0.0000 13.2835
P Be F
4 4 4
Cartesian
1.0883 0.0000 3.8245
4.1737 0.0000 3.8245
1.0883 1.3131 10.4663
4.1737 1.3131 10.4663
2.6310 0.0000 5.4067
2.6310 1.3131 12.0484
0.0000 0.0000 1.9431
0.0000 1.3131 8.5848
0.0000 0.0000 7.7465
0.0000 1.3131 1.1048
2.6310 0.0000 12.9035
2.6310 1.3131 6.2618
```

Properties
Size of the total moment, μB per cell: 0.00
Crystal system: orthorhombic
Excess energy over the best structure of this formula in the dataset, kJ/mol of formula units: 19.0